# 1
Entry from the Alexandria database: an optimized crystal structure of Pr2UPt12Rh3 (GGA-PBE). Values from VASP.

Calculated total energy   -0.2347 Ha/atom
ΔE_f   0.023 eV/atom
ρ   13.4 g cm⁻³

Structure (Quantum ESPRESSO input):
```
&SYSTEM
  ibrav = 0, nat = 18, ntyp = 4
/
ATOMIC_SPECIES
Pt 195.08 Pt.upf
Rh 102.91 Rh.upf
U 238.03 U.upf
Pr 140.91 Pr.upf
CELL_PARAMETERS angstrom
8.390 0.220 0.156
4.335 7.187 0.156
4.335 2.523 6.731
ATOMIC_POSITIONS angstrom
Pt 10.483 3.869 2.744
Pt 8.541 7.205 2.744
Pt 4.273 4.732 0.978
Pt 12.786 5.198 6.065
Pt 4.273 2.488 4.143
Pt 6.225 1.379 0.978
Pt 6.577 6.062 4.299
Pt 8.519 2.725 4.299
Pt 8.541 4.972 5.893
Pt 12.786 7.443 2.901
Pt 8.519 4.959 1.151
Pt 10.834 8.551 6.065
Rh 2.167 3.594 0.078
Rh 2.167 1.262 3.366
Rh 4.195 0.110 0.078
U 0.000 0.000 0.000
Pr 10.594 6.167 4.374
Pr 6.465 3.763 2.669
```

# 2
Entry from the Alexandria database: an optimized crystal structure of PrZn5Pt2Rh (GGA-PBE). Values from VASP.

Calculated total energy   -0.1329 Ha/atom
ΔE_f   -0.218 eV/atom
ρ   9.2 g cm⁻³

Structure (Quantum ESPRESSO input):
```
&SYSTEM
  ibrav = 0, nat = 9, ntyp = 4
/
ATOMIC_SPECIES
Pr 140.91 Pr.upf
Pt 195.08 Pt.upf
Zn 65.41 Zn.upf
Rh 102.91 Rh.upf
CELL_PARAMETERS angstrom
4.841 0.000 0.000
0.000 4.841 0.000
0.000 0.000 7.395
ATOMIC_POSITIONS angstrom
Pr 0.000 0.000 3.698
Pt 2.420 2.420 6.064
Pt 2.420 2.420 1.331
Zn 2.420 0.000 1.342
Zn 2.420 2.420 3.698
Zn 0.000 2.420 6.053
Zn 2.420 0.000 6.053
Zn 0.000 2.420 1.342
Rh 0.000 0.000 0.000
```

# 3
Entry from the Alexandria database: an optimized crystal structure of Pr2Zn4Pt3Rh (GGA-PBE). Values from VASP.

Calculated total energy   -0.1739 Ha/atom
ΔE_f   -0.719 eV/atom
ρ   10.6 g cm⁻³

Structure (Quantum ESPRESSO input):
```
&SYSTEM
  ibrav = 0, nat = 10, ntyp = 4
/
ATOMIC_SPECIES
Pt 195.08 Pt.upf
Pr 140.91 Pr.upf
Zn 65.41 Zn.upf
Rh 102.91 Rh.upf
CELL_PARAMETERS angstrom
-0.728 1.306 3.938
-3.323 -2.577 0.241
6.386 -7.880 3.794
ATOMIC_POSITIONS angstrom
Pt 5.129 -6.124 5.232
Pt -0.768 -2.391 0.651
Pt 3.193 -3.940 1.897
Pr 3.045 -7.097 2.917
Pr 1.315 -1.418 2.966
Zn 0.708 -4.213 1.528
Zn 0.000 0.000 0.000
Zn 3.652 -4.302 4.355
Zn -2.025 -0.635 2.089
Rh 1.167 -4.575 3.986
```

# 4
Entry from the Alexandria database: an optimized crystal structure of Pr2ZnPt5Rh2 (GGA-PBE). Values from VASP.

Calculated total energy   -0.2277 Ha/atom
ΔE_f   -0.622 eV/atom
ρ   13.6 g cm⁻³

Structure (Quantum ESPRESSO input):
```
&SYSTEM
  ibrav = 0, nat = 20, ntyp = 4
/
ATOMIC_SPECIES
Pt 195.08 Pt.upf
Pr 140.91 Pr.upf
Rh 102.91 Rh.upf
Zn 65.41 Zn.upf
CELL_PARAMETERS angstrom
-2.268 3.343 0.630
-0.692 -2.214 9.251
7.905 5.025 1.794
ATOMIC_POSITIONS angstrom
Pt 2.818 4.184 1.212
Pt -1.480 0.565 4.941
Pt -0.804 1.530 2.254
Pt 0.947 2.212 4.935
Pt 5.164 5.570 2.301
Pt -0.219 0.584 9.375
Pt 5.748 4.624 9.421
Pt 3.998 3.942 6.740
Pt 1.868 2.341 7.565
Pt 3.077 3.813 4.111
Pr 0.894 -0.624 6.525
Pr 4.739 1.544 8.866
Pr 6.319 3.435 4.520
Pr 2.474 1.268 2.180
Rh 2.339 -0.060 8.738
Rh 0.752 -0.183 3.673
Rh 6.461 2.994 7.372
Rh 4.874 2.872 2.308
Zn 0.000 0.000 0.000
Zn 3.606 1.406 5.523
```

# 5
Entry from the Alexandria database: an optimized crystal structure of Pr2Zn3Pt12Rh (GGA-PBE). Values from VASP.

Calculated total energy   -0.1992 Ha/atom
ΔE_f   -0.242 eV/atom
ρ   13.8 g cm⁻³

Structure (Quantum ESPRESSO input):
```
&SYSTEM
  ibrav = 0, nat = 18, ntyp = 4
/
ATOMIC_SPECIES
Pt 195.08 Pt.upf
Zn 65.41 Zn.upf
Pr 140.91 Pr.upf
Rh 102.91 Rh.upf
CELL_PARAMETERS angstrom
-4.923 3.682 7.356
-6.703 -2.806 6.252
-0.854 -1.373 9.449
ATOMIC_POSITIONS angstrom
Pt -7.845 -1.321 12.057
Pt -4.635 0.824 11.000
Pt -5.343 -1.753 10.561
Pt -7.137 1.256 12.495
Pt -8.751 -2.491 17.127
Pt -6.959 0.255 9.730
Pt -5.521 -0.752 13.327
Pt -4.713 -1.590 5.320
Pt -7.767 1.093 17.737
Pt -3.729 1.993 5.929
Pt -10.998 0.301 15.971
Pt -1.482 -0.799 7.085
Zn -0.427 -0.686 4.724
Zn -3.352 -1.403 3.126
Zn -2.461 1.841 3.678
Pr -8.209 -0.327 15.166
Pr -4.271 -0.170 7.890
Rh 0.000 0.000 0.000
```

# 6
Entry from the Alexandria database: an optimized crystal structure of PrZnPt3Rh (GGA-PBE). Values from VASP.

Calculated total energy   -0.2081 Ha/atom
ΔE_f   -0.408 eV/atom
ρ   12.9 g cm⁻³

Structure (Quantum ESPRESSO input):
```
&SYSTEM
  ibrav = 0, nat = 12, ntyp = 4
/
ATOMIC_SPECIES
Pt 195.08 Pt.upf
Zn 65.41 Zn.upf
Rh 102.91 Rh.upf
Pr 140.91 Pr.upf
CELL_PARAMETERS angstrom
5.585 0.000 0.000
0.000 6.734 0.000
0.000 -3.367 6.101
ATOMIC_POSITIONS angstrom
Pt 4.189 3.367 4.262
Pt 2.793 2.025 0.000
Pt 1.396 0.000 1.839
Pt 0.000 2.025 0.000
Pt 2.793 4.709 0.000
Pt 0.000 4.709 0.000
Zn 4.189 3.367 1.771
Zn 1.396 0.000 4.330
Rh 4.189 0.000 0.924
Rh 1.396 3.367 5.177
Pr 4.189 0.000 3.572
Pr 1.396 3.367 2.529
```

# 7
Entry from the Alexandria database: an optimized crystal structure of Pr6RuPt3 (GGA-PBE). Values from VASP.

Calculated total energy   -0.2314 Ha/atom
ΔE_f   -0.690 eV/atom
ρ   8.7 g cm⁻³

Structure (Quantum ESPRESSO input):
```
&SYSTEM
  ibrav = 0, nat = 20, ntyp = 3
/
ATOMIC_SPECIES
Pr 140.91 Pr.upf
Ru 101.07 Ru.upf
Pt 195.08 Pt.upf
CELL_PARAMETERS angstrom
-4.013 -5.531 -1.713
0.557 -2.653 7.262
-8.825 5.419 2.657
ATOMIC_POSITIONS angstrom
Pr -7.623 0.683 5.451
Pr -5.004 -5.811 6.054
Pr -8.001 -3.214 5.017
Pr -11.076 -1.431 5.995
Pr -4.280 0.448 3.188
Pr -10.784 0.794 2.558
Pr -7.697 -1.047 1.740
Pr -7.278 3.045 2.151
Pr -1.498 -3.560 5.647
Pr -4.658 -3.448 2.754
Pr -4.584 -1.719 6.465
Pr -1.206 -1.335 2.210
Ru -6.141 -1.383 4.103
Ru 0.000 0.000 0.000
Pt -10.193 -2.240 3.200
Pt -3.931 -1.435 0.678
Pt -1.728 -4.092 2.774
Pt -8.350 -1.331 7.527
Pt -4.412 2.709 1.328
Pt -2.088 -0.526 5.005
```

# 8
Entry from the Alexandria database: an optimized crystal structure of PrRuPt (GGA-PBE). Values from VASP.

Calculated total energy   -0.2552 Ha/atom
ΔE_f   -0.245 eV/atom
ρ   11.9 g cm⁻³

Structure (Quantum ESPRESSO input):
```
&SYSTEM
  ibrav = 0, nat = 6, ntyp = 3
/
ATOMIC_SPECIES
Ru 101.07 Ru.upf
Pt 195.08 Pt.upf
Pr 140.91 Pr.upf
CELL_PARAMETERS angstrom
5.198 0.111 -0.809
-2.156 4.731 0.809
-3.090 -1.435 5.272
ATOMIC_POSITIONS angstrom
Ru -1.572 4.364 1.796
Ru 1.523 -0.957 3.476
Pt -0.024 1.703 2.636
Pt -1.545 -0.718 2.636
Pr 2.776 1.633 0.325
Pr -2.824 1.774 4.948
```

- Look up the ρ of the fifth one.
  13.8 g cm⁻³

- Which formula does entry 1 have?
  Pr2UPt12Rh3

Please write out number 6 again, unchanged.
Entry from the Alexandria database: an optimized crystal structure of PrZnPt3Rh (GGA-PBE). Values from VASP.

Calculated total energy   -0.2081 Ha/atom
ΔE_f   -0.408 eV/atom
ρ   12.9 g cm⁻³

Structure (Quantum ESPRESSO input):
```
&SYSTEM
  ibrav = 0, nat = 12, ntyp = 4
/
ATOMIC_SPECIES
Pt 195.08 Pt.upf
Zn 65.41 Zn.upf
Rh 102.91 Rh.upf
Pr 140.91 Pr.upf
CELL_PARAMETERS angstrom
5.585 0.000 0.000
0.000 6.734 0.000
0.000 -3.367 6.101
ATOMIC_POSITIONS angstrom
Pt 4.189 3.367 4.262
Pt 2.793 2.025 0.000
Pt 1.396 0.000 1.839
Pt 0.000 2.025 0.000
Pt 2.793 4.709 0.000
Pt 0.000 4.709 0.000
Zn 4.189 3.367 1.771
Zn 1.396 0.000 4.330
Rh 4.189 0.000 0.924
Rh 1.396 3.367 5.177
Pr 4.189 0.000 3.572
Pr 1.396 3.367 2.529
```